(1)
VASP calculation (PBE) on crystalline CePu2MoN4 at its relaxed geometry.

Output
The calculation puts the calculated total energy at -173.69 eV for the cell shown. The calculation puts the uncorrected formation energy at -1.0146 eV/atom. The density of states at the Fermi level comes out at 19.84 states/eV/cell. Its density is 11255 kg/m³. Its space group is Cmcm.

Cell: 3.352 6.139 11.628 Å, 90.00 90.00 105.84°
Each line ends with the local moment (μB).
Element x y z (fractional)
Mo 0.145 0.290 0.250  -0.45
Mo 0.855 0.710 0.750  -0.45
N 0.536 0.071 0.250  -0.04
N 0.269 0.537 0.378  -0.12
N 0.269 0.537 0.122  -0.12
N 0.731 0.463 0.878  -0.12
N 0.000 0.000 0.500  -0.22
N 0.731 0.463 0.622  -0.12
N 0.000 0.000 0.000  -0.22
N 0.464 0.929 0.750  -0.04
Pu 0.631 0.263 0.047  4.35
Pu 0.631 0.263 0.453  4.35
Pu 0.369 0.737 0.953  4.35
Pu 0.369 0.737 0.547  4.35
Ce 0.116 0.233 0.750  0.05
Ce 0.884 0.767 0.250  0.05

***

(2)
VASP calculation (PBE) on crystalline Ce2PuMoN5 at its relaxed geometry.

Output
The calculation puts the calculated total energy at -176.67 eV for the cell shown. The calculation puts the uncorrected formation energy at -1.0754 eV/atom. The density of states at the Fermi level comes out at 20.76 states/eV/cell. Its density is 8987 kg/m³. Its space group is I4/mcm.

Cell: 6.655 6.655 7.437 Å, 116.58 116.58 90.00°
Each line ends with the local moment (μB).
Element x y z (fractional)
Ce 0.827 0.673 0.000  0.36
Ce 0.673 0.173 0.000  0.36
Ce 0.173 0.327 0.000  0.36
Ce 0.327 0.827 0.000  0.36
N 0.000 0.000 0.000  -0.07
N 0.509 0.699 0.708  -0.04
N 0.301 0.801 0.292  -0.04
N 0.991 0.491 0.292  -0.04
N 0.500 0.500 0.000  -0.07
N 0.009 0.509 0.708  -0.04
N 0.801 0.991 0.292  -0.04
N 0.491 0.301 0.292  -0.04
N 0.699 0.199 0.708  -0.04
N 0.199 0.009 0.708  -0.04
Pu 0.250 0.250 0.500  5.15
Pu 0.750 0.750 0.500  5.15
Mo 0.750 0.250 0.500  0.16
Mo 0.250 0.750 0.500  0.16

***

(3)
VASP calculation (PBE) on crystalline RbCeMoN3 at its relaxed geometry.

Output
The calculation puts the calculated total energy at -93.40 eV for the cell shown. The calculation puts the uncorrected formation energy at -0.6653 eV/atom. The density of states at the Fermi level comes out at 2.32 states/eV/cell. Its density is 5150 kg/m³. Its space group is C2/m.

Cell: 3.625 8.656 7.883 Å, 103.91 90.00 102.09°
Element x y z (fractional)
N 0.197 0.394 0.389
N 0.803 0.606 0.611
N 0.873 0.746 0.266
N 0.127 0.254 0.734
N 0.524 0.048 0.305
N 0.476 0.952 0.695
Ce 0.666 0.332 0.531
Ce 0.334 0.668 0.469
Rb 0.641 0.281 0.062
Rb 0.359 0.719 0.938
Mo 0.983 0.965 0.326
Mo 0.017 0.035 0.674

***

(4)
VASP calculation (PBE) on crystalline RbCeMoN4 at its relaxed geometry.

Output
The calculation puts the calculated total energy at -108.62 eV for the cell shown. The calculation puts the uncorrected formation energy at -0.4683 eV/atom. The density of states at the Fermi level comes out at 4.78 states/eV/cell. Its density is 4330 kg/m³. Its space group is P2_1/m.

Cell: 6.229 6.039 8.034 Å, 90.00 106.60 90.00°
Each line ends with the local moment (μB).
Element x y z (fractional)
N 0.936 0.486 0.659  0.16
N 0.064 0.514 0.341  0.16
N 0.064 0.986 0.341  0.16
N 0.529 0.250 0.435  0.29
N 0.936 0.014 0.659  0.16
N 0.469 0.750 0.217  0.20
N 0.531 0.250 0.783  0.20
N 0.471 0.750 0.565  0.29
Ce 0.202 0.250 0.551  0.02
Ce 0.798 0.750 0.449  0.02
Rb 0.701 0.750 0.929  0.00
Rb 0.299 0.250 0.071  0.00
Mo 0.265 0.750 0.350  -0.10
Mo 0.735 0.250 0.650  -0.10

***

(5)
VASP calculation (PBE) on crystalline Ce2ReMoN5 at its relaxed geometry.

Output
The calculation puts the calculated total energy at -82.67 eV for the cell shown. The calculation puts the uncorrected formation energy at -0.6546 eV/atom. The density of states at the Fermi level comes out at 8.21 states/eV/cell. Its density is 8674 kg/m³. Its space group is P4/mmm.

Cell: 3.867 3.867 8.097 Å, 90.00 90.00 90.00°
Each line ends with the local moment (μB).
Element x y z (fractional)
Mo 0.000 0.000 0.000  1.17
N 0.000 0.500 0.500  0.01
N 0.000 0.000 0.761  -0.03
N 0.000 0.000 0.239  -0.03
N 0.500 0.000 0.500  0.01
N 0.500 0.500 0.000  -0.01
Ce 0.500 0.500 0.724  0.33
Ce 0.500 0.500 0.276  0.33
Re 0.000 0.000 0.500  -0.01

***

(6)
VASP calculation (PBE) on crystalline CeScMoN3 at its relaxed geometry.

Output
The calculation puts the calculated total energy at -109.30 eV for the cell shown. The calculation puts the uncorrected formation energy at -1.0959 eV/atom. The density of states at the Fermi level comes out at 5.65 states/eV/cell. Its density is 6178 kg/m³. Its space group is P2_1/m.

Cell: 3.198 6.869 8.012 Å, 99.44 90.00 90.00°
Element x y z (fractional)
N 0.750 0.420 0.139
N 0.750 0.875 0.144
N 0.250 0.125 0.856
N 0.250 0.817 0.569
N 0.750 0.183 0.431
N 0.250 0.580 0.861
Ce 0.250 0.171 0.189
Ce 0.750 0.829 0.811
Sc 0.750 0.355 0.873
Sc 0.250 0.645 0.127
Mo 0.250 0.123 0.588
Mo 0.750 0.877 0.412

***

Question: Which value of calculated total energy does entry 1 give?
Answer: -173.69 eV for the cell shown

***

Question: Which of these has the lowest calculated total energy?
Answer: Ce2PuMoN5

***

Question: What is the uncorrected formation energy in the first record?
Answer: -1.0146 eV/atom